[1]
Compound: BAu3O
Source: the Alexandria database
Functional: PBE
Structure: relaxed

a b c (Å): 4.2845 4.2845 4.2845
angles (deg): 90.00 90.00 90.00
Last column: nearest neighbours and their distance in Å.
Fractional coordinates of all 5 atoms:
B  0.0000  0.0000  0.0000  6 Au 2.14
Au  0.0000  0.0000  0.5000  2 B 2.14
Au  0.0000  0.5000  0.0000  2 B 2.14
Au  0.5000  0.0000  0.0000  2 B 2.14
O  0.5000  0.5000  0.5000  12 Au 3.03

Space group   Pm-3m (221)
Energy relative to the lowest polymorph listed for this composition   0.0 meV/atom
Uncorrected formation energy   736 meV per atom
Total DFT energy (no corrections)   -3.558 eV/atom



[2]
Compound: KLaVN3
Source: the Alexandria database
Functional: PBE
Structure: relaxed

a b c (Å): 7.1991 7.1991 7.9550
angles (deg): 105.55 105.55 31.33
Last column: nearest neighbours and their distance in Å.
Fractional coordinates of all 12 atoms:
K  0.1390  0.1390  0.0663  7 N 2.93-3.18
K  0.8610  0.8610  0.9337  7 N 2.93-3.18
La  0.1588  0.1588  0.5901  7 N 2.54-2.63
La  0.8412  0.8412  0.4099  7 N 2.54-2.63
V  0.4934  0.4934  0.6899  4 N 1.82-1.95
V  0.5066  0.5066  0.3101  4 N 1.82-1.95
N  0.0098  0.0098  0.3191  2 V 1.95
N  0.3474  0.3474  0.6320  1 V 1.95
N  0.3708  0.3708  0.2133  1 V 1.82
N  0.6292  0.6292  0.7867  1 V 1.82
N  0.6526  0.6526  0.3680  1 V 1.95
N  0.9902  0.9902  0.6809  2 V 1.95

Space group   C2/m (12)
Uncorrected formation energy   -556 meV per atom
Total DFT energy (no corrections)   -7.243 eV/atom



[3]
Compound: Mg2Al2Hg
Source: the Alexandria database
Functional: PBE
Structure: relaxed

a b c (Å): 4.2271 4.2271 12.7321
angles (deg): 90.00 90.00 90.00
Last column: nearest neighbours and their distance in Å.
Fractional coordinates of all 10 atoms:
Mg  0.0000  0.5000  0.2500  4 Al 2.87, 4 Mg 2.99
Mg  0.0000  0.5000  0.7500  4 Al 2.87, 4 Mg 2.99
Mg  0.5000  0.0000  0.2500  4 Al 2.87, 4 Mg 2.99
Mg  0.5000  0.0000  0.7500  4 Al 2.87, 4 Mg 2.99
Al  0.0000  0.0000  0.0977  1 Al 2.49
Al  0.0000  0.0000  0.9023  1 Al 2.49
Al  0.5000  0.5000  0.4023  1 Al 2.49
Al  0.5000  0.5000  0.5977  1 Al 2.49
Hg  0.0000  0.0000  0.5000  8 Al 3.24
Hg  0.5000  0.5000  0.0000  8 Al 3.24

Space group   I4/mmm (139)
Energy relative to the lowest polymorph listed for this composition   173.4 meV/atom
Total DFT energy (no corrections)   -1.973 eV/atom
ΔE_f   0.222 eV/atom



[4]
Compound: Sr3GeB
Source: the Alexandria database
Functional: PBE
Structure: relaxed

a b c (Å): 5.5007 5.5007 5.5007
angles (deg): 90.00 90.00 90.00
Last column: nearest neighbours and their distance in Å.
Fractional coordinates of all 5 atoms:
Sr  0.0000  0.0000  0.5000  2 B 2.75
Sr  0.0000  0.5000  0.0000  2 B 2.75
Sr  0.5000  0.0000  0.0000  2 B 2.75
Ge  0.5000  0.5000  0.5000  12 Sr 3.89
B  0.0000  0.0000  0.0000  6 Sr 2.75

Space group   Pm-3m (221)
Energy relative to the lowest polymorph listed for this composition   0.0 meV/atom
Total DFT energy (no corrections)   -3.011 eV/atom
ΔE_f   0.257 eV/atom



[5]
Compound: Ba2CrPb
Source: the Alexandria database
Functional: PBE
Structure: relaxed

a b c (Å): 5.0299 5.2287 12.3345
angles (deg): 90.00 90.00 90.00
Last column: nearest neighbours and their distance in Å.
Fractional coordinates of all 8 atoms:
Ba  0.0000  0.0000  0.0000  3 Cr 3.57-3.73, 4 Pb 3.78
Ba  0.0000  0.5000  0.5000  3 Cr 3.57-3.73, 4 Pb 3.78
Ba  0.5000  0.0000  0.2873  3 Pb 3.61-3.68, 4 Cr 3.79
Ba  0.5000  0.5000  0.7873  3 Pb 3.61-3.68, 4 Cr 3.79
Cr  0.0000  0.0000  0.6977  2 Pb 2.87
Cr  0.0000  0.5000  0.1977  2 Pb 2.87
Pb  0.5000  0.0000  0.5857  2 Cr 2.87
Pb  0.5000  0.5000  0.0857  2 Cr 2.87

Space group   Amm2 (38)
Total DFT energy (no corrections)   -4.234 eV/atom
ΔE_f   0.060 eV/atom



[6]
Compound: Ta4S8I
Source: the Alexandria database
Functional: PBE
Structure: relaxed

a b c (Å): 9.6655 9.6655 9.6655
angles (deg): 40.71 40.71 40.71
Last column: nearest neighbours and their distance in Å.
Fractional coordinates of all 13 atoms:
Ta  0.0000  0.0000  0.0000  6 S 2.49
Ta  0.0000  0.5000  0.5000  6 S 2.48
Ta  0.5000  0.0000  0.5000  6 S 2.48
Ta  0.5000  0.5000  0.0000  6 S 2.48
S  0.2260  0.2260  0.7225  3 Ta 2.48-2.49
S  0.2260  0.7225  0.2260  3 Ta 2.48-2.49
S  0.2751  0.2751  0.2751  3 Ta 2.48
S  0.2775  0.7740  0.7740  3 Ta 2.48-2.49
S  0.7225  0.2260  0.2260  3 Ta 2.48-2.49
S  0.7249  0.7249  0.7249  3 Ta 2.48
S  0.7740  0.2775  0.7740  3 Ta 2.48-2.49
S  0.7740  0.7740  0.2775  3 Ta 2.48-2.49
I  0.5000  0.5000  0.5000  6 S 3.47

Space group   R-3m (166)
Uncorrected formation energy   -908 meV per atom
Total DFT energy (no corrections)   -7.214 eV/atom



These records have density of states at the Fermi level values of 3.1 5.4 4.3 5.6 7.6 7.6 states/eV per cell, in the order they appear.